[1]
Density functional theory data (PBE) for an optimized crystal structure of Rb2AgRu.

Structure (POSCAR):
```
Rb2AgRu
1.0
0.7189 3.5870 4.6972
2.3625 5.4167 -0.7248
-3.4136 4.8410 0.5988
Ag Ru Rb
1 1 2
Cartesian
-0.1661 6.9224 2.2856
0.0000 0.0000 0.0000
-0.2492 10.3836 3.4284
-0.0831 3.4612 1.1428
```

Summary:
* D(E_F): 8.3 states/eV/f.u.
* final energy: -2.30 eV/atom
* relative energy among the computed polymorphs: 0 meV per atom
* symmetry: Fm-3m, No. 225
* V: 37.31 A^3/atom
* ΔH_f (0 K): 1.220 eV/atom


[2]
Density functional theory data (PBE) for an optimized crystal structure of Cs2SbAs.

Structure (POSCAR):
```
Cs2SbAs
1.0
0.0000 4.3993 4.3993
4.3993 0.0000 4.3993
4.3993 4.3993 0.0000
Sb As Cs
1 1 2
Cartesian
4.3993 4.3993 4.3993
0.0000 0.0000 0.0000
2.1997 2.1997 2.1997
6.5990 6.5990 6.5990
```

Summary:
* D(E_F): 4.7 states/eV/f.u.
* final energy: -2.41 eV/atom
* relative energy among the computed polymorphs: 611 meV per atom
* symmetry: Fm-3m, No. 225
* uncorrected formation energy: 0.2111 eV/atom
* V: 42.57 A^3/atom


[3]
Density functional theory data (PBE) for an optimized crystal structure of Nd5Te4Cl.

Structure (POSCAR):
```
Nd5Te4Cl
1.0
-1.3996 -4.1452 0.7734
0.8886 -1.9555 3.8893
-15.4669 4.3855 8.2765
Nd Te Cl
5 4 1
Cartesian
-3.5339 -2.7271 4.5117
-6.5572 0.6466 4.3610
-12.4440 1.0120 8.4274
0.0000 0.0000 0.0000
-9.4207 -2.3618 8.5781
-5.3195 -4.0828 6.7758
-14.2111 -0.3515 10.6833
-1.7668 -1.3636 2.2558
-10.6584 2.3677 6.1633
-7.9890 -0.8576 6.4696
```

Summary:
* D(E_F): 6.1 states/eV/f.u.
* final energy: -5.21 eV/atom
* symmetry: R-3m, No. 166
* uncorrected formation energy: -1.3870 eV/atom
* V: 30.60 A^3/atom


[4]
Density functional theory data (PBE) for an optimized crystal structure of P2IrSe.

Structure (POSCAR):
```
P2IrSe
1.0
-0.5442 -2.1652 -1.6534
0.1103 -1.7022 2.1927
-9.7398 1.3020 1.5007
P Ir Se
2 1 1
Cartesian
-5.6922 0.7609 0.8771
-8.9174 1.1921 1.3740
-7.5218 -0.9572 1.3952
-2.6519 -1.6082 0.6449
```

Summary:
* D(E_F): 3.1 states/eV/f.u.
* final energy: -5.56 eV/atom
* symmetry: P4/mmm, No. 123
* uncorrected formation energy: 0.2323 eV/atom
* V: 19.18 A^3/atom


- Among the records above, which one has the highest final energy?
  Rb2AgRu